# MnTc2Mo

A geometry-optimized MnTc2Mo structure (GGA-PBE, Alexandria).

Computed properties:
- E: -10.10 eV per atom
- Formation enthalpy at 0 K: 0.085 eV per atom

abc: 3.130 4.297 8.624
angles: 90.00 90.00 90.00
Space group Imm2 (No. 44)
Asymmetric unit:
Mn: 0.000 0.000 0.000 [2 per cell]
Tc: 0.000 0.000 0.495 [2 per cell]
Tc: 0.000 0.500 0.248 [2 per cell]
Mo: 0.000 0.500 0.747 [2 per cell]



# MnTc2Mo

A geometry-optimized MnTc2Mo structure (GGA-PBE, Alexandria).

Computed properties:
- E: -10.05 eV per atom
- Formation enthalpy at 0 K: 0.134 eV per atom

abc: 3.119 4.342 8.578
angles: 90.00 90.00 90.00
Space group Immm (No. 71)
Asymmetric unit:
Mn: 0.000 0.000 0.000 [2 per cell]
Tc: 0.000 0.500 0.248 [4 per cell]
Mo: 0.000 0.000 0.500 [2 per cell]



Number 1: volume 14.5 A^3/atom. Number 2: volume 14.5 A^3/atom.